Here is Cs2CaSmCl6 after structural relaxation from Alexandria via LeMat-Bulk. Energies are from GGA-PBE.

extended XYZ file:
```
20
Lattice="7.771 0.000 0.000 0.000 7.780 0.000 0.000 0.000 11.000" Properties=species:S:1:pos:R:3 pbc="T T T"
Sm 0.000 5.839 0.000
Sm 3.885 1.942 5.500
Cs 3.885 5.834 8.249
Cs 0.000 1.946 2.749
Cs 3.885 5.834 2.751
Cs 0.000 1.946 8.251
Cl 0.000 5.834 8.234
Cl 1.955 3.883 0.000
Cl 0.000 5.834 2.766
Cl 1.934 7.763 5.500
Cl 1.931 3.898 5.500
Cl 5.816 3.883 0.000
Cl 5.840 3.898 5.500
Cl 1.952 0.017 0.000
Cl 5.837 7.763 5.500
Cl 5.819 0.017 0.000
Cl 3.885 1.947 2.734
Cl 3.885 1.947 8.266
Ca 3.885 1.948 0.000
Ca 0.000 5.832 5.500
```

Fermi-level density of states, states/eV per cell: 8.8
Calculated total energy, eV per cell: -80.6
Symmetry: Pmmn

***

Here is LiTb5Al3 after structural relaxation from Alexandria via LeMat-Bulk. Energies are from GGA-PBE.

extended XYZ file:
```
18
Lattice="6.537 0.000 0.000 0.000 7.835 -4.524 0.000 0.000 9.047" Properties=species:S:1:pos:R:3 pbc="T T T"
Tb 3.269 2.612 4.523
Tb 1.634 2.413 1.393
Tb 4.903 2.413 -1.393
Tb 1.634 0.000 6.261
Tb 4.903 7.835 -1.737
Tb 1.634 5.422 -3.131
Tb 4.903 5.422 3.130
Tb 0.000 2.612 4.523
Tb 0.000 5.224 0.000
Tb 3.269 5.224 0.000
Al 4.903 2.763 1.595
Al 1.634 0.000 3.190
Al 4.903 7.835 1.333
Al 1.634 2.763 -1.595
Al 4.903 5.072 -2.928
Al 1.634 5.072 2.928
Li 0.000 0.000 0.000
Li 3.269 0.000 0.000
```

ΔH_f (0 K), meV per atom: -241
Fermi-level density of states, states/eV per cell: 11.9
Symmetry: P6_3/mcm

***

Here is TbPr2ErTm6 after structural relaxation from Alexandria via LeMat-Bulk. Energies are from GGA-PBE.

extended XYZ file:
```
20
Lattice="-4.675 8.303 1.476 -2.661 -3.655 7.435 7.900 3.644 -0.179" Properties=species:S:1:pos:R:3 pbc="T T T"
Tm -4.689 5.567 7.849
Tm -3.593 2.378 6.312
Tm -0.914 8.090 3.391
Tm 5.252 2.725 0.883
Tm -2.230 -0.466 4.556
Tm 1.477 0.202 5.341
Tm 1.276 7.725 1.081
Tm 2.793 8.758 4.175
Tm -0.713 0.567 7.650
Tm 4.156 5.914 2.419
Tm -0.813 2.393 4.265
Tm 1.376 5.900 4.466
Er -1.878 5.537 5.449
Er 2.442 2.755 3.282
Pr 1.274 3.407 6.548
Pr -0.710 4.885 2.184
Pr 0.029 8.314 6.497
Pr 0.534 -0.022 2.234
Tb -3.649 -1.454 7.673
Tb 4.212 9.746 1.058
```

ΔH_f (0 K), meV per atom: 119
Fermi-level density of states, states/eV per cell: 26.1
Symmetry: C2/c

***

Here is Ce4Ho3Se8 after structural relaxation from Alexandria via LeMat-Bulk. Energies are from GGA-PBE.

extended XYZ file:
```
15
Lattice="8.259 -0.120 -0.172 -4.032 7.205 0.135 -4.032 -2.375 6.804" Properties=species:S:1:pos:R:3 pbc="T T T"
Ho 0.097 2.355 3.383
Ho 2.113 -1.248 3.316
Ho 2.113 3.543 -0.019
Ce 4.129 -0.060 -0.086
Ce 0.000 0.000 0.000
Ce -2.016 3.603 0.067
Ce -2.016 -1.188 3.402
Se 2.220 3.451 4.958
Se -2.025 1.259 1.808
Se 2.134 1.198 1.720
Se -1.939 3.513 5.046
Se -4.032 0.079 5.095
Se 0.097 0.002 5.021
Se 0.097 4.708 1.745
Se -4.032 4.751 1.843
```

Fermi-level density of states, states/eV per cell: 24.9
Calculated total energy, eV per cell: -92.4
Symmetry: C2/m

***

Here is SrHoCuIr after structural relaxation from Alexandria via LeMat-Bulk. Energies are from GGA-PBE.

extended XYZ file:
```
4
Lattice="4.990 0.000 0.000 2.495 4.322 0.000 2.495 1.441 4.075" Properties=species:S:1:pos:R:3 pbc="T T T"
Ho 4.990 2.881 2.037
Ir 7.486 4.322 3.056
Cu 2.495 1.441 1.019
Sr 0.000 0.000 0.000
```

ΔH_f (0 K), meV per atom: -235
Fermi-level density of states, states/eV per cell: 2.3
Symmetry: F-43m

***

Here is YCdSe3 after structural relaxation from Alexandria via LeMat-Bulk. Energies are from GGA-PBE.

extended XYZ file:
```
5
Lattice="5.148 0.000 0.000 0.000 5.148 0.000 0.000 0.000 5.148" Properties=species:S:1:pos:R:3 pbc="T T T"
Se 0.000 0.000 2.574
Se 2.574 0.000 0.000
Se 0.000 2.574 0.000
Cd 0.000 0.000 0.000
Y 2.574 2.574 2.574
```

Fermi-level density of states, states/eV per cell: 2.5
Calculated total energy, eV per cell: -19.3
Symmetry: Pm-3m

***

Here is Pr3Al2InPd9 after structural relaxation from Alexandria via LeMat-Bulk. Energies are from GGA-PBE.

extended XYZ file:
```
15
Lattice="-2.945 2.597 -4.265 0.405 -5.781 0.139 -9.724 -0.528 6.393" Properties=species:S:1:pos:R:3 pbc="T T T"
Pr 0.000 0.000 0.000
Pr -8.011 -3.385 3.470
Pr -4.253 -0.327 -1.203
Pd -3.364 -1.619 1.337
Pd -8.899 -2.093 0.930
Pd -1.472 1.299 -2.132
Pd -9.107 0.873 0.859
Pd -7.597 -0.459 3.047
Pd -1.270 -1.592 -2.063
Pd -4.667 -3.252 -0.780
Pd 0.203 -2.891 0.070
Pd -3.156 -4.585 1.408
In -4.862 -0.264 3.196
Al -9.993 -0.639 2.571
Al -2.271 -3.073 -0.304
```

ΔH_f (0 K), meV per atom: -606
Fermi-level density of states, states/eV per cell: 4.7
Symmetry: P-3m1

***

Here is SrNiAgGe after structural relaxation from Alexandria via LeMat-Bulk. Energies are from GGA-PBE.

extended XYZ file:
```
8
Lattice="4.072 0.000 0.000 0.000 4.072 0.000 0.000 0.000 10.875" Properties=species:S:1:pos:R:3 pbc="T T T"
Sr 1.018 1.018 8.184
Sr 3.054 3.054 2.690
Ni 3.054 1.018 0.000
Ni 1.018 3.054 0.000
Ge 1.018 1.018 1.202
Ge 3.054 3.054 9.673
Ag 3.054 1.018 5.437
Ag 1.018 3.054 5.437
```

ΔH_f (0 K), meV per atom: -341
Fermi-level density of states, states/eV per cell: 5.0
Symmetry: P4/nmm

***

Here is NpPH after structural relaxation from Alexandria via LeMat-Bulk. Energies are from GGA-PBE.

extended XYZ file:
```
6
Lattice="-3.105 -0.147 -1.840 3.003 -1.438 -1.407 -1.340 -6.405 2.773" Properties=species:S:1:pos:R:3 pbc="T T T"
H 0.558 -1.544 -0.818
H -1.999 -6.446 0.344
P -1.254 -6.967 -0.873
P -0.188 -1.023 0.399
Np 0.449 -3.644 -0.466
Np -1.890 -4.347 -0.008
```

Fermi-level density of states, states/eV per cell: 2.1
Calculated total energy, eV per cell: -44.9
Symmetry: C2/m

***

Here is MgAl2Pb after structural relaxation from Alexandria via LeMat-Bulk. Energies are from GGA-PBE.

extended XYZ file:
```
4
Lattice="10.491 0.199 0.117 9.952 3.325 0.117 9.952 1.715 2.850" Properties=species:S:1:pos:R:3 pbc="T T T"
Pb 22.785 3.927 2.312
Mg 15.450 2.663 1.568
Al 30.093 5.186 3.054
Al 7.659 1.320 0.777
```

ΔH_f (0 K), meV per atom: 157
Fermi-level density of states, states/eV per cell: 2.3
Symmetry: R3m

***

Here is AcThTl6 after structural relaxation from Alexandria via LeMat-Bulk. Energies are from GGA-PBE.

extended XYZ file:
```
8
Lattice="-2.183 -4.224 -1.207 4.392 -2.123 -0.516 -0.156 -2.628 9.475" Properties=species:S:1:pos:R:3 pbc="T T T"
Tl 1.026 -4.487 3.876
Tl 2.080 -3.014 6.780
Tl -1.132 -2.788 1.833
Tl -1.208 -4.064 6.435
Tl 1.104 -3.173 -0.862
Tl 2.156 -1.737 2.179
Ac 0.000 0.000 0.000
Th -0.078 -1.314 4.738
```

ΔH_f (0 K), meV per atom: -230
Fermi-level density of states, states/eV per cell: 3.4
Symmetry: P4/mmm

***

Here is LaIn6Pt4 after structural relaxation from Alexandria via LeMat-Bulk. Energies are from GGA-PBE.

extended XYZ file:
```
11
Lattice="-4.303 -3.966 4.021 5.409 -3.016 -3.472 4.518 4.555 3.041" Properties=species:S:1:pos:R:3 pbc="T T T"
Pt 5.944 -0.282 1.141
Pt 4.387 -0.726 -1.371
Pt 4.062 2.036 1.005
Pt 1.159 -1.916 2.385
La 0.000 0.000 0.000
In 3.159 -0.636 1.171
In 0.107 0.295 3.531
In -1.595 -2.420 2.595
In 7.145 -0.208 -1.415
In 6.841 2.376 0.808
In 0.553 -3.491 0.274
```

ΔH_f (0 K), meV per atom: -622
Fermi-level density of states, states/eV per cell: 3.0
Symmetry: I-42m

***

Here is CrPt2Cl2 after structural relaxation from Alexandria via LeMat-Bulk. Energies are from GGA-PBE.

extended XYZ file:
```
10
Lattice="6.139 0.000 0.000 0.000 6.139 0.000 0.000 0.000 4.776" Properties=species:S:1:pos:R:3 pbc="T T T"
Pt 4.417 1.348 2.388
Pt 1.722 4.791 2.388
Pt 1.348 1.722 2.388
Pt 4.791 4.417 2.388
Cl 1.056 2.013 0.000
Cl 4.125 1.056 0.000
Cl 2.013 5.083 0.000
Cl 5.083 4.125 0.000
Cr 0.000 0.000 0.000
Cr 3.069 3.069 0.000
```

Fermi-level density of states, states/eV per cell: 5.4
Calculated total energy, eV per cell: -48.3
Symmetry: P4/mbm

***

Here is Tb3TmBi3 after structural relaxation from Alexandria via LeMat-Bulk. Energies are from GGA-PBE.

extended XYZ file:
```
28
Lattice="-5.016 0.714 7.902 3.971 -7.869 3.231 6.870 5.069 3.903" Properties=species:S:1:pos:R:3 pbc="T T T"
Bi 2.207 -6.687 4.831
Bi 3.051 -2.605 3.580
Bi 2.284 -2.041 12.770
Bi 5.568 0.672 11.875
Bi 1.164 0.120 9.053
Bi 7.001 2.436 4.240
Bi -0.668 -0.943 5.252
Bi 5.234 0.128 7.478
Bi 5.999 -3.592 11.116
Bi 2.709 1.724 4.314
Bi 3.030 -3.625 7.811
Bi -2.637 1.897 7.898
Tm -0.398 2.986 9.796
Tm 8.264 0.222 6.058
Tm 2.477 -0.887 6.396
Tm 1.304 -6.493 7.822
Tb 0.367 2.027 6.414
Tb 4.618 -4.717 5.317
Tb 3.536 2.114 9.606
Tb 0.779 -3.106 9.949
Tb 6.300 -2.811 7.852
Tb -1.640 -1.072 8.247
Tb 0.598 -3.826 5.512
Tb 5.270 -0.435 4.173
Tb 4.734 3.026 6.347
Tb 3.936 -1.410 10.161
Tb 5.412 -1.939 13.974
Tb 1.032 -0.370 2.665
```

ΔH_f (0 K), meV per atom: -721
Fermi-level density of states, states/eV per cell: 31.6
Symmetry: P2_13

***

Here is HfTl4Te4 after structural relaxation from Alexandria via LeMat-Bulk. Energies are from GGA-PBE.

extended XYZ file:
```
9
Lattice="7.442 0.000 -3.683 -1.823 7.216 -3.683 -0.571 -0.733 8.207" Properties=species:S:1:pos:R:3 pbc="T T T"
Te -0.121 -0.155 5.575
Te 0.543 6.638 -2.444
Te 3.373 4.330 0.996
Te 6.303 2.152 -2.444
Tl 1.511 1.941 3.054
Tl 3.721 0.000 -1.842
Tl 3.537 4.542 -2.213
Tl -0.911 3.608 -1.842
Hf 0.000 0.000 0.000
```

Fermi-level density of states, states/eV per cell: 0.0
Calculated total energy, eV per cell: -35.9
Symmetry: I-42m

***

Here is SmHoCuSi after structural relaxation from Alexandria via LeMat-Bulk. Energies are from GGA-PBE.

extended XYZ file:
```
4
Lattice="4.079 0.000 0.000 0.000 4.087 0.000 -2.039 0.000 5.442" Properties=species:S:1:pos:R:3 pbc="T T T"
Sm 0.000 0.000 1.570
Cu 2.039 2.044 0.687
Si 0.000 0.000 4.662
Ho 2.039 2.044 3.966
```

Fermi-level density of states, states/eV per cell: 3.5
Calculated total energy, eV per cell: -20.8
Symmetry: Amm2

***

Here is InSiNi3 after structural relaxation from Alexandria via LeMat-Bulk. Energies are from GGA-PBE.

extended XYZ file:
```
5
Lattice="-0.495 -2.692 -3.729 4.599 -0.254 -0.427 0.044 -3.753 2.704" Properties=species:S:1:pos:R:3 pbc="T T T"
Si 2.074 -3.349 -0.726
Ni 0.022 -1.877 1.352
Ni -0.247 -1.346 -1.864
Ni 2.299 -0.127 -0.214
In 0.000 0.000 0.000
```

Fermi-level density of states, states/eV per cell: 3.8
Calculated total energy, eV per cell: -18.9
Symmetry: Pm-3m

***

Here is Ba2ScWCl after structural relaxation from Alexandria via LeMat-Bulk. Energies are from GGA-PBE.

extended XYZ file:
```
5
Lattice="6.562 0.000 0.000 0.000 4.666 0.000 0.000 0.000 6.562" Properties=species:S:1:pos:R:3 pbc="T T T"
W 0.000 2.333 0.000
Cl 3.281 2.333 3.281
Ba 0.000 0.000 3.281
Ba 3.281 0.000 0.000
Sc 0.000 0.000 0.000
```

Fermi-level density of states, states/eV per cell: 5.9
Calculated total energy, eV per cell: -21.7
Symmetry: P4/mmm

***

Here is LaTb2Ce after structural relaxation from Alexandria via LeMat-Bulk. Energies are from GGA-PBE.

extended XYZ file:
```
4
Lattice="3.571 0.000 0.000 0.000 3.571 0.000 0.000 0.000 10.170" Properties=species:S:1:pos:R:3 pbc="T T T"
Tb 0.000 0.000 7.479
Tb 0.000 0.000 2.691
La 1.786 1.786 0.000
Ce 1.786 1.786 5.085
```

ΔH_f (0 K), meV per atom: 62
Fermi-level density of states, states/eV per cell: 7.5
Symmetry: P4/mmm

***

Here is Sr2HgOs after structural relaxation from Alexandria via LeMat-Bulk. Energies are from GGA-PBE.

extended XYZ file:
```
4
Lattice="4.547 -0.005 0.009 3.351 3.074 0.009 1.056 0.410 8.489" Properties=species:S:1:pos:R:3 pbc="T T T"
Sr 1.078 0.419 8.130
Sr 4.454 1.731 4.612
Hg 2.238 0.870 2.127
Os 6.715 2.609 6.380
```

ΔH_f (0 K), meV per atom: 497
Fermi-level density of states, states/eV per cell: 2.7
Symmetry: C2/m